DFT (GGA-PBE) results for a relaxed LaWN3 crystal.

Cell: 3.604 3.604 13.615 Å, 90.00 90.00 120.00°
Atoms (fractional coordinates):
La: 0.333 0.667 0.250
La: 0.667 0.333 0.750
W: 0.000 0.000 0.000
W: 0.000 0.000 0.500
N: 0.000 0.000 0.250
N: 0.000 0.000 0.750
N: 0.333 0.667 0.054
N: 0.333 0.667 0.446
N: 0.667 0.333 0.554
N: 0.667 0.333 0.946

Formation energy from raw total energies = 0.265 eV per atom
Calculated volume = 15.31 Å³/atom

DFT (GGA-PBE) results for a relaxed La3W2N6 crystal.

Cell: 10.408 10.408 10.408 Å, 157.70 157.70 31.74°
Atoms (fractional coordinates):
La: 0.000 0.000 0.000
La: 0.181 0.181 0.000
La: 0.819 0.819 0.000
W: 0.401 0.401 0.000
W: 0.599 0.599 0.000
N: 0.087 0.587 0.500
N: 0.304 0.304 0.000
N: 0.413 0.913 0.500
N: 0.587 0.087 0.500
N: 0.696 0.696 0.000
N: 0.913 0.413 0.500

Formation energy from raw total energies = -1.133 eV per atom
Calculated volume = 14.75 Å³/atom

DFT (GGA-PBE) results for a relaxed LaWN3 crystal.

Cell: 4.004 6.124 6.984 Å, 111.19 100.30 90.59°
Atoms (fractional coordinates):
La: 0.000 0.000 0.000
La: 0.286 0.640 0.363
W: 0.432 0.223 0.769
W: 0.796 0.202 0.469
N: 0.322 0.320 0.513
N: 0.397 0.906 0.737
N: 0.486 0.326 0.088
N: 0.775 0.896 0.291
N: 0.777 0.349 0.243
N: 0.932 0.289 0.796

Formation energy from raw total energies = -0.759 eV per atom
Calculated volume = 15.66 Å³/atom

DFT (GGA-PBE) results for a relaxed La2W2N5 crystal.

Cell: 5.952 5.952 5.888 Å, 109.36 109.36 41.21°
Atoms (fractional coordinates):
La: 0.103 0.103 0.326
La: 0.897 0.897 0.674
W: 0.341 0.341 0.105
W: 0.659 0.659 0.895
N: 0.149 0.149 0.902
N: 0.340 0.340 0.423
N: 0.500 0.500 0.000
N: 0.660 0.660 0.577
N: 0.851 0.851 0.098

Formation energy from raw total energies = -0.906 eV per atom
Calculated volume = 14.28 Å³/atom

DFT (GGA-PBE) results for a relaxed La2WN2 crystal.

Cell: 5.214 5.214 8.639 Å, 90.00 90.00 90.00°
Atoms (fractional coordinates):
La: 0.000 0.500 0.250
La: 0.000 0.500 0.750
La: 0.500 0.000 0.250
La: 0.500 0.000 0.750
W: 0.000 0.000 0.000
W: 0.500 0.500 0.500
N: 0.000 0.000 0.220
N: 0.000 0.000 0.780
N: 0.500 0.500 0.280
N: 0.500 0.500 0.720

Formation energy from raw total energies = -0.556 eV per atom
Calculated volume = 23.49 Å³/atom

DFT (GGA-PBE) results for a relaxed LaWN3 crystal.

Cell: 4.504 5.977 6.363 Å, 107.86 105.76 106.20°
Atoms (fractional coordinates):
La: 0.000 0.000 0.000
La: 0.055 0.748 0.437
W: 0.295 0.539 0.989
W: 0.465 0.384 0.591
N: 0.187 0.201 0.748
N: 0.387 0.486 0.305
N: 0.389 0.710 0.774
N: 0.556 0.113 0.411
N: 0.596 0.968 0.233
N: 0.862 0.533 0.946

Formation energy from raw total energies = -0.604 eV per atom
Calculated volume = 14.41 Å³/atom

DFT (GGA-PBE) results for a relaxed La3WN crystal.

Cell: 5.013 5.013 5.013 Å, 90.00 90.00 90.00°
Atoms (fractional coordinates):
La: 0.000 0.000 0.500
La: 0.000 0.500 0.000
La: 0.500 0.000 0.000
W: 0.500 0.500 0.500
N: 0.000 0.000 0.000

Formation energy from raw total energies = -0.032 eV per atom
Calculated volume = 25.19 Å³/atom

DFT (GGA-PBE) results for a relaxed LaWN3 crystal.

Cell: 6.612 6.612 3.360 Å, 90.00 90.00 111.07°
Atoms (fractional coordinates):
La: 0.000 0.000 0.000
La: 0.500 0.500 0.500
W: 0.000 0.500 0.126
W: 0.500 0.000 0.874
N: 0.070 0.322 0.479
N: 0.312 0.688 0.000
N: 0.322 0.070 0.521
N: 0.678 0.930 0.521
N: 0.688 0.312 0.000
N: 0.930 0.678 0.479

Formation energy from raw total energies = -0.788 eV per atom
Calculated volume = 13.71 Å³/atom